A relaxed structure of PuIn5Au4, computed with PBE-GGA.

```
PuIn5Au4
1.0
4.5177 0.0000 -1.4340
-0.0640 7.0928 -0.2016
-0.0419 -0.0755 7.7012
Pu In Au
1 5 4
direct
0.5000 0.0000 0.0000
0.1678 0.9915 0.3356
0.1779 0.5193 0.3559
0.8221 0.4807 0.6441
0.5000 0.5000 0.0000
0.8322 0.0085 0.6644
0.6734 0.7567 0.3468
0.0267 0.2661 0.0535
0.3266 0.2433 0.6532
0.9733 0.7339 0.9465
```

Values from the calculation:
- raw total energy (eV for the cell shown) = -43.3

A relaxed structure of PuIn2Au4, computed with PBE-GGA.

```
PuIn2Au4
1.0
4.0939 0.0000 0.0000
0.0000 4.0939 0.0000
0.0000 0.0000 10.2446
In Au Pu
2 4 1
direct
0.5000 0.0000 0.5000
0.0000 0.5000 0.5000
0.7388 0.2612 0.7574
0.2612 0.2612 0.2426
0.2612 0.7388 0.7574
0.7388 0.7388 0.2426
0.0000 0.0000 0.0000
```

Values from the calculation:
- raw total energy (eV for the cell shown) = -32.5

A relaxed structure of Pu2In5Au3, computed with PBE-GGA.

```
Pu2In5Au3
1.0
-1.7097 1.7727 -3.9837
-6.8878 -1.1399 2.4488
0.7761 11.5641 7.5660
Pu In Au
4 10 6
direct
0.4819 0.7676 0.9638
0.1735 0.7125 0.3469
0.8265 0.2125 0.6531
0.5181 0.2676 0.0362
0.3993 0.4139 0.7987
0.2927 0.5004 0.5854
0.7073 0.0004 0.4146
0.1214 0.2519 0.2428
0.2927 0.9195 0.5854
0.9479 0.0907 0.8958
0.7073 0.4195 0.4146
0.8786 0.7519 0.7572
0.0521 0.5907 0.1042
0.6007 0.9139 0.2013
0.7755 0.7090 0.5510
0.6083 0.5194 0.2166
0.0465 0.9799 0.0929
0.2245 0.2090 0.4490
0.9535 0.4799 0.9071
0.3917 0.0194 0.7834
```

Values from the calculation:
- raw total energy (eV for the cell shown) = -110.6

A relaxed structure of PuIn2Au8, computed with PBE-GGA.

```
PuIn2Au8
1.0
5.0025 1.5090 0.0000
3.1508 7.5375 0.0000
1.5754 3.7687 6.9906
Pu In Au
1 2 8
direct
0.5000 0.0000 0.0000
0.0000 0.3144 0.3711
0.0000 0.6856 0.6289
0.8581 0.0878 0.2456
0.8581 0.3334 0.7544
0.3048 0.4417 0.0000
0.5000 0.7829 0.4341
0.5000 0.2171 0.5659
0.6952 0.5583 0.0000
0.1419 0.6666 0.2456
0.1419 0.9122 0.7544
```

Values from the calculation:
- raw total energy (eV for the cell shown) = -47.8

A relaxed structure of PuInAu2, computed with PBE-GGA.

```
PuInAu2
1.0
-1.7306 -2.6385 -1.1700
2.8859 -1.5604 -0.7497
0.1054 -3.2320 7.1326
In Au Pu
1 2 1
direct
0.5000 0.5000 0.0000
0.0000 0.0000 0.7610
0.0000 0.0000 0.2390
0.5000 0.5000 0.5000
```

Values from the calculation:
- raw total energy (eV for the cell shown) = -24.9

A relaxed structure of PuInAu2, computed with PBE-GGA.

```
PuInAu2
1.0
4.9741 -0.5538 -0.3612
2.9559 4.0389 -0.3604
2.9559 1.2985 3.8414
In Au Pu
1 2 1
direct
0.2500 0.2500 0.2500
0.9999 0.9999 0.9999
0.5001 0.5001 0.5001
0.7500 0.7500 0.7500
```

Values from the calculation:
- raw total energy (eV for the cell shown) = -25.2

A relaxed structure of PuIn2Au3, computed with PBE-GGA.

```
PuIn2Au3
1.0
-1.4201 -4.0195 -2.1401
6.2691 -1.9211 -0.5519
-1.3197 -1.3885 8.7994
Pu In Au
2 4 6
direct
0.1197 0.1469 0.2394
0.8803 0.8531 0.7606
0.5145 0.7865 0.0291
0.4855 0.2135 0.9709
0.2275 0.6657 0.4550
0.7725 0.3343 0.5450
0.6951 0.9220 0.3901
0.0664 0.6622 0.1329
0.3679 0.5210 0.7359
0.6321 0.4790 0.2641
0.9336 0.3378 0.8671
0.3049 0.0780 0.6099
```

Values from the calculation:
- raw total energy (eV for the cell shown) = -62.9

A relaxed structure of PuIn2Au8, computed with PBE-GGA.

```
PuIn2Au8
1.0
4.6874 0.0000 -1.3475
-1.0781 7.2672 -3.7505
-0.3892 -1.3701 7.4728
Pu In Au
1 2 8
direct
0.5000 0.0000 0.0000
0.1879 0.6546 0.3757
0.8121 0.3454 0.6243
0.5728 0.4361 0.1456
0.3173 0.1064 0.6346
0.1727 0.2777 0.3453
0.0510 0.8145 0.1020
0.8273 0.7223 0.6547
0.6827 0.8936 0.3654
0.4272 0.5639 0.8544
0.9490 0.1855 0.8980
```

Values from the calculation:
- raw total energy (eV for the cell shown) = -48.1